Below is crystalline Rb3BaMg2F9 at its relaxed geometry, with properties calculated at the PBE-GGA level.

a b c (Å): 6.110 6.110 8.109
angles (deg): 90.00 90.00 120.00
Element x y z (fractional)
Rb (0.000, 0.000, 0.000)
Rb (0.333, 0.667, 0.717)
Rb (0.667, 0.333, 0.283)
Ba (0.000, 0.000, 0.500)
Mg (0.333, 0.667, 0.147)
Mg (0.667, 0.333, 0.853)
F (0.000, 0.500, 0.000)
F (0.180, 0.360, 0.289)
F (0.180, 0.820, 0.289)
F (0.360, 0.180, 0.711)
F (0.500, 0.000, 0.000)
F (0.500, 0.500, 0.000)
F (0.640, 0.820, 0.289)
F (0.820, 0.180, 0.711)
F (0.820, 0.640, 0.711)

For the density of states at the Fermi level, the calculation gives 0.000 states/eV per cell. The value obtained for the volume is 17.48 Å³ per atom. As for the formation energy without anion corrections: -3.26 eV/atom. The total magnetization is 0.00 μB/f.u.

Below is crystalline MnAgSe2 at its relaxed geometry, with properties calculated at the PBE-GGA level.

a b c (Å): 10.884 10.884 4.734
angles (deg): 90.00 90.00 161.18
Element x y z (fractional)
Mn (0.071, 0.929, 0.750)
Mn (0.929, 0.071, 0.250)
Ag (0.317, 0.683, 0.750)
Ag (0.683, 0.317, 0.250)
Se (0.047, 0.953, 0.250)
Se (0.183, 0.817, 0.750)
Se (0.817, 0.183, 0.250)
Se (0.953, 0.047, 0.750)

For the density of states at the Fermi level, the calculation gives 2.798 states/eV per cell. The value obtained for the volume is 22.61 Å³ per atom. As for the formation energy without anion corrections: -0.02 eV/atom. The total magnetization is 3.98 μB/f.u.

Below is crystalline IrBr at its relaxed geometry, with properties calculated at the PBE-GGA level.

a b c (Å): 3.274 3.274 3.274
angles (deg): 90.00 90.00 90.00
Element x y z (fractional)
Ir (0.000, 0.000, 0.000)
Br (0.500, 0.500, 0.500)

Its energy above the most stable polymorph in this dataset is 1.164 eV per atom. For the density of states at the Fermi level, the calculation gives 3.378 states/eV per cell. The value obtained for the volume is 17.55 Å³ per atom. As for the formation energy without anion corrections: 1.43 eV/atom. The total magnetization is 0.51 μB/f.u.

Below is crystalline ScZn2Re at its relaxed geometry, with properties calculated at the PBE-GGA level.

a b c (Å): 9.866 9.866 9.866
angles (deg): 157.23 157.23 32.42
Element x y z (fractional)
Sc (0.000, 0.000, 0.000)
Sc (0.750, 0.250, 0.500)
Zn (0.175, 0.625, 0.050)
Zn (0.375, 0.425, 0.550)
Zn (0.575, 0.125, 0.950)
Zn (0.875, 0.825, 0.450)
Re (0.250, 0.750, 0.500)
Re (0.500, 0.500, 0.000)

Its energy above the most stable polymorph in this dataset is 0.484 eV per atom. The formation energy comes out at 397 meV per atom. For the density of states at the Fermi level, the calculation gives 3.020 states/eV per cell. The value obtained for the volume is 17.96 Å³ per atom. The total magnetization is 0.00 μB/f.u.

Below is crystalline LiInBrCl at its relaxed geometry, with properties calculated at the PBE-GGA level.

a b c (Å): 8.091 8.091 8.091
angles (deg): 30.33 30.33 30.33
Element x y z (fractional)
Li (0.000, 0.000, 0.000)
In (0.490, 0.490, 0.490)
Br (0.705, 0.705, 0.705)
Cl (0.898, 0.898, 0.898)

For the density of states at the Fermi level, the calculation gives 0.000 states/eV per cell. The value obtained for the volume is 29.92 Å³ per atom. As for the formation energy without anion corrections: -1.16 eV/atom. The total magnetization is 0.00 μB/f.u.

Below is crystalline LiNb2AsAu at its relaxed geometry, with properties calculated at the PBE-GGA level.

a b c (Å): 4.553 4.553 4.052
angles (deg): 90.00 90.00 90.00
Element x y z (fractional)
Li (0.000, 0.000, 0.000)
Nb (0.000, 0.500, 0.000)
Nb (0.500, 0.000, 0.000)
As (0.000, 0.000, 0.500)
Au (0.500, 0.500, 0.500)

The formation energy comes out at 652 meV per atom. For the density of states at the Fermi level, the calculation gives 5.380 states/eV per cell. The value obtained for the volume is 16.80 Å³ per atom. The total magnetization is 0.00 μB/f.u.